First-principles (PBE-GGA) data for Li2BeH5 after structural relaxation, as listed in the Alexandria database.

Cell lengths 4.179, 4.179, 6.471 Å; angles 90.00, 90.00, 90.00 degrees
Space group I4mm (No. 107)
Inequivalent atoms, fractional coordinates:
Li (0.000, 0.500, 0.000) (multiplicity 4)
Be (0.000, 0.000, 0.265) (multiplicity 2)
H (0.000, 0.000, 0.478) (multiplicity 2)
H (0.246, 0.246, 0.218) (multiplicity 8)

Final energy in eV per atom: -3.067
M_tot in μB per formula unit: 0.00